Entry 1:
This record from Alexandria describes an optimized crystal structure of HoTmSbO2. The functional is PBE.

Geometry as extended XYZ:
```
5
Lattice="-1.9101 1.9101 6.6169 1.9101 -1.9101 6.6169 1.9101 1.9101 -6.6169" Properties=species:S:1:pos:R:3 pbc="T T T"
Ho 0.0000 0.0000 0.0000
Tm 0.0000 0.0000 4.4105
Sb 0.0000 0.0000 8.8267
O 1.9101 0.0000 5.4908
O 0.0000 1.9101 5.4908
```

Properties
Uncorrected formation energy = -2.739 eV per atom
Total magnetic moment = 0.0 μB/f.u.
Final energy = -7.3569 eV per atom

Entry 2:
This record from Alexandria describes an optimized crystal structure of HoTmSb2O8. The functional is PBE.

Geometry as extended XYZ:
```
12
Lattice="-2.6110 2.6110 5.5554 2.6110 -2.6110 5.5554 2.6110 2.6110 -5.5554" Properties=species:S:1:pos:R:3 pbc="T T T"
Ho 0.0000 0.0000 0.0000
Tm 2.6110 0.0000 2.7777
Sb 0.0000 0.0000 5.5554
Sb 0.0000 2.6110 2.7777
O 1.2774 0.9764 -1.7857
O 1.3353 -0.9615 4.5513
O 1.6495 1.2757 1.0041
O 1.6346 -1.3336 7.3411
O 1.2757 3.5725 -1.0041
O 1.3336 1.6346 3.7697
O 0.9615 1.3353 6.5596
O 0.9764 3.9446 1.7857
```

Properties
Uncorrected formation energy = -2.363 eV per atom
Total magnetic moment = 0.0 μB/f.u.
Final energy = -7.1095 eV per atom

Entry 3:
This record from Alexandria describes an optimized crystal structure of HoScO3. The functional is PBE.

Geometry as extended XYZ:
```
10
Lattice="2.7814 1.6058 4.9237 -2.7814 1.6058 4.9237 0.0000 -3.2117 4.9237" Properties=species:S:1:pos:R:3 pbc="T T T"
Ho 0.0000 0.0000 2.0414
Ho 0.0000 0.0000 12.7298
Sc 0.0000 0.0000 5.2103
Sc 0.0000 0.0000 9.5609
O -1.8796 -0.2289 6.1162
O -0.7416 -1.7422 8.6550
O 1.1380 -1.5133 6.1162
O -1.1380 1.5133 8.6550
O 0.7416 1.7422 6.1162
O 1.8796 0.2289 8.6550
```

Properties
Uncorrected formation energy = -3.526 eV per atom
Total magnetic moment = 0.0 μB/f.u.
Final energy = -8.6830 eV per atom